No. 1
## MnTcAg3 (PBEsol)

Data for a relaxed structure of MnTcAg3.

Calculated values
Symmetry = Pm-3m, No. 221
Formation energy from the elements = 1.690 eV/atom
M_tot = 7.66 μB/f.u.
DOS at the Fermi energy = 4.5 states/eV/cell

Structure (extended XYZ):
```
5
Lattice="4.683 0.000 0.000 0.000 4.683 0.000 0.000 0.000 4.683" Properties=species:S:1:pos:R:3 pbc="T T T"
Mn 0.000 0.000 0.000
Tc 2.342 2.342 2.342
Ag 0.000 0.000 2.342
Ag 0.000 2.342 0.000
Ag 2.342 0.000 0.000
```

No. 2
## BaTaNi (PBEsol)

Data for a relaxed structure of BaTaNi.

Calculated values
Symmetry = F-43m, No. 216
Energy above the lowest structure with this stoichiometry = 876 meV/atom
Formation energy from the elements = 1.322 eV/atom
M_tot = 1.63 μB/f.u.
DOS at the Fermi energy = 5.1 states/eV/cell

Structure (extended XYZ):
```
3
Lattice="0.000 3.306 3.306 3.306 0.000 3.306 3.306 3.306 0.000" Properties=species:S:1:pos:R:3 pbc="T T T"
Ba 0.000 0.000 0.000
Ta 3.306 3.306 3.306
Ni 4.959 4.959 4.959
```

No. 3
## YSiPCl2 (PBEsol)

Data for a relaxed structure of YSiPCl2.

Calculated values
Formation energy (no corrections) = -32.7 kJ/mol of atoms
Symmetry = P4/mmm, No. 123
M_tot = 0.09 μB/f.u.
DOS at the Fermi energy = 2.5 states/eV/cell

Structure (extended XYZ):
```
5
Lattice="4.986 0.000 0.000 0.000 4.986 0.000 0.000 0.000 5.578" Properties=species:S:1:pos:R:3 pbc="T T T"
Y 0.000 0.000 0.000
Si 2.493 2.493 2.789
P 0.000 0.000 2.789
Cl 0.000 2.493 0.000
Cl 2.493 0.000 0.000
```

No. 4
## InTePt4 (PBEsol)

Data for a relaxed structure of InTePt4.

Calculated values
Formation energy (no corrections) = 2.2 kJ/mol of atoms
Symmetry = F-43m, No. 216
M_tot = 0.00 μB/f.u.
DOS at the Fermi energy = 3.9 states/eV/cell

Structure (extended XYZ):
```
6
Lattice="0.000 3.770 3.770 3.770 0.000 3.770 3.770 3.770 0.000" Properties=species:S:1:pos:R:3 pbc="T T T"
In 0.000 0.000 0.000
Te 1.885 1.885 1.885
Pt 4.712 2.829 2.829
Pt 2.829 4.712 2.829
Pt 2.829 2.829 4.712
Pt 4.712 4.712 4.712
```

No. 5
## KCa2P (PBEsol)

Data for a relaxed structure of KCa2P.

Calculated values
Symmetry = Imm2, No. 44
Formation energy from the elements = -0.468 eV/atom
M_tot = 0.00 μB/f.u.
DOS at the Fermi energy = 1.8 states/eV/cell

Structure (extended XYZ):
```
4
Lattice="-1.896 2.109 9.301 1.896 -2.109 9.301 1.896 2.109 -9.301" Properties=species:S:1:pos:R:3 pbc="T T T"
K 0.000 0.000 0.000
Ca 1.896 0.000 5.984
Ca 0.000 0.000 12.613
P 0.000 2.109 5.450
```

No. 6
## TbMnB4 (PBEsol)

Data for a relaxed structure of TbMnB4.

Calculated values
Symmetry = Pbam, No. 55
Formation energy from the elements = -0.699 eV/atom
M_tot = 0.87 μB/f.u.
DOS at the Fermi energy = 5.3 states/eV/cell

Structure (extended XYZ):
```
24
Lattice="5.884 0.000 0.000 0.000 11.382 0.000 0.000 0.000 3.367" Properties=species:S:1:pos:R:3 pbc="T T T"
Tb 0.739 1.713 0.000
Tb 2.203 7.403 0.000
Tb 3.681 3.978 0.000
Tb 5.145 9.669 0.000
Mn 0.744 4.743 0.000
Mn 2.198 10.434 0.000
Mn 3.686 0.948 0.000
Mn 5.140 6.639 0.000
B 0.147 7.860 1.683
B 0.659 6.215 1.683
B 0.816 11.011 1.683
B 1.295 9.293 1.683
B 1.647 3.603 1.683
B 2.126 5.320 1.683
B 2.283 0.524 1.683
B 2.795 2.169 1.683
B 3.089 9.213 1.683
B 3.601 10.857 1.683
B 3.758 6.062 1.683
B 4.237 7.779 1.683
B 4.589 2.088 1.683
B 5.068 0.371 1.683
B 5.225 5.167 1.683
B 5.737 3.522 1.683
```

No. 7
## KYP2O7 (PBEsol)

Data for a relaxed structure of KYP2O7.

Calculated values
Formation energy (no corrections) = -261.6 kJ/mol of atoms
Symmetry = P2_1/c, No. 14
Energy above the lowest structure with this stoichiometry = 0 meV/atom
M_tot = 0.00 μB/f.u.
DOS at the Fermi energy = 0.0 states/eV/cell

Structure (extended XYZ):
```
44
Lattice="7.603 0.000 0.000 0.000 10.959 0.000 -2.642 0.000 8.220" Properties=species:S:1:pos:R:3 pbc="T T T"
K 1.088 1.987 0.618
K -0.233 3.492 4.728
K 5.194 7.467 3.492
K 3.873 8.971 7.602
Y 1.101 6.514 2.066
Y -0.220 9.924 6.176
Y 5.181 1.034 2.044
Y 3.860 4.445 6.154
P -1.159 6.615 6.656
P 0.162 9.823 2.546
P 1.549 7.065 5.704
P 2.870 9.373 1.594
P 2.091 1.586 6.626
P 3.412 3.893 2.516
P 4.799 1.135 5.674
P 6.120 4.344 1.564
O -1.775 5.497 5.808
O -0.454 10.941 1.698
O -1.419 7.995 6.035
O -0.098 8.443 1.925
O -1.609 6.553 8.099
O -0.288 9.885 3.989
O 1.157 6.747 4.270
O 2.478 9.691 0.159
O 0.436 6.345 6.654
O 1.757 10.093 2.544
O 0.770 0.945 6.213
O 2.091 4.535 2.103
O 2.866 7.887 1.949
O 1.545 8.551 6.059
O 3.416 2.407 2.161
O 2.095 3.072 6.271
O 2.870 6.424 6.117
O 4.191 10.014 2.007
O 3.204 0.866 5.677
O 4.525 4.613 1.566
O 2.483 1.268 8.061
O 3.804 4.212 3.951
O 5.249 1.073 4.231
O 6.570 4.406 0.121
O 5.059 2.515 6.295
O 6.380 2.964 2.185
O 5.415 0.018 6.522
O 6.736 5.461 2.412
```

No. 8
## Sr2LiCl (PBEsol)

Data for a relaxed structure of Sr2LiCl.

Calculated values
Formation energy (no corrections) = -68.1 kJ/mol of atoms
Symmetry = Cmmm, No. 65
Energy above the lowest structure with this stoichiometry = 76 meV/atom
M_tot = 0.00 μB/f.u.
DOS at the Fermi energy = 2.9 states/eV/cell

Structure (extended XYZ):
```
4
Lattice="2.161 -3.243 0.000 2.161 3.243 0.000 0.000 0.000 9.735" Properties=species:S:1:pos:R:3 pbc="T T T"
Sr 0.000 0.000 2.237
Sr 0.000 0.000 7.498
Li 2.161 0.000 4.868
Cl 2.161 0.000 0.000
```

No. 9
## NbReI2O (PBEsol)

Data for a relaxed structure of NbReI2O.

Calculated values
Formation energy (no corrections) = 44.6 kJ/mol of atoms
Symmetry = P4/mmm, No. 123
M_tot = 2.96 μB/f.u.
DOS at the Fermi energy = 3.7 states/eV/cell

Structure (extended XYZ):
```
5
Lattice="5.451 0.000 0.000 0.000 5.451 0.000 0.000 0.000 3.706" Properties=species:S:1:pos:R:3 pbc="T T T"
Nb 0.000 0.000 0.000
Re 2.726 2.726 1.853
I 0.000 2.726 1.853
I 2.726 0.000 1.853
O 2.726 2.726 0.000
```

No. 10
## Dy3SbO3 (PBEsol)

Data for a relaxed structure of Dy3SbO3.

Calculated values
Formation energy (no corrections) = -280.5 kJ/mol of atoms
Symmetry = C2/m, No. 12
M_tot = 0.00 μB/f.u.
DOS at the Fermi energy = 0.0 states/eV/cell

Structure (extended XYZ):
```
14
Lattice="6.471 -1.918 0.000 6.471 1.918 0.000 -5.537 0.000 10.157" Properties=species:S:1:pos:R:3 pbc="T T T"
Dy -0.889 0.000 4.477
Dy -3.307 0.000 9.137
Dy 0.068 0.000 8.061
Dy 7.336 0.000 2.096
Dy 10.711 0.000 1.020
Dy 8.292 0.000 5.681
Sb 3.148 0.000 3.256
Sb 4.256 0.000 6.901
O -0.270 0.000 2.000
O 0.749 0.000 5.999
O -1.091 0.000 10.031
O 8.495 0.000 0.126
O 6.655 0.000 4.158
O 7.673 0.000 8.157
```

No. 11
## BaTe3Rh (PBEsol)

Data for a relaxed structure of BaTe3Rh.

Calculated values
Formation energy (no corrections) = 128.0 kJ/mol of atoms
Symmetry = Pm-3m, No. 221
Energy above the lowest structure with this stoichiometry = 1923 meV/atom
M_tot = 2.76 μB/f.u.
DOS at the Fermi energy = 14.3 states/eV/cell

Structure (extended XYZ):
```
5
Lattice="6.234 0.000 0.000 0.000 6.234 0.000 0.000 0.000 6.234" Properties=species:S:1:pos:R:3 pbc="T T T"
Ba 0.000 0.000 0.000
Te 0.000 0.000 3.117
Te 0.000 3.117 0.000
Te 3.117 0.000 0.000
Rh 3.117 3.117 3.117
```

No. 12
## ErInAu2 (PBEsol)

Data for a relaxed structure of ErInAu2.

Calculated values
Symmetry = Fm-3m, No. 225
Formation energy from the elements = -0.736 eV/atom
M_tot = 0.00 μB/f.u.
DOS at the Fermi energy = 1.6 states/eV/cell

Structure (extended XYZ):
```
4
Lattice="0.000 3.414 3.414 3.414 0.000 3.414 3.414 3.414 0.000" Properties=species:S:1:pos:R:3 pbc="T T T"
Er 0.000 0.000 0.000
In 3.414 3.414 3.414
Au 1.707 1.707 1.707
Au 5.121 5.121 5.121
```